Version one
Entry from Alexandria: a relaxed Na2PmCl4 crystal (PBE-GGA).

Calculated values
SG: Imma, No. 74
Magnetic moment, Bohr magnetons per cell: 0.4
ρ, g cm⁻³: 2.8

abc: 8.424 8.424 8.424
angles: 128.75 118.80 83.82
Sites, in units of the cell vectors:
Na  0.000  0.000  0.000
Na  0.378  0.628  0.750
Na  0.500  0.000  0.500
Na  0.622  0.372  0.250
Pm  0.000  0.000  0.500
Pm  0.000  0.500  0.000
Cl  0.223  0.219  0.496
Cl  0.223  0.727  0.004
Cl  0.239  0.230  0.008
Cl  0.278  0.770  0.508
Cl  0.722  0.230  0.492
Cl  0.761  0.770  0.992
Cl  0.777  0.273  0.996
Cl  0.777  0.781  0.504

Version two
Entry from Alexandria: a relaxed Na2PmCl4 crystal (PBE-GGA).

Calculated values
SG: I4/mmm, No. 139
Magnetic moment, Bohr magnetons per cell: 0.0
ρ, g cm⁻³: 2.5

abc: 8.269 8.269 8.269
angles: 140.84 140.84 56.59
Sites, in units of the cell vectors:
Na  0.132  0.132  0.000
Na  0.868  0.868  0.000
Pm  0.500  0.500  0.000
Cl  0.000  0.500  0.500
Cl  0.315  0.315  0.000
Cl  0.500  0.000  0.500
Cl  0.685  0.685  0.000

Which of them is most stable, and which least? Most stable: version one; least stable: version two.

Version one
Entry from Alexandria: a relaxed NaPrCl4 crystal (PBE-GGA).

Calculated values
SG: C2/m, No. 12
Magnetic moment, Bohr magnetons per cell: 0.0
ρ, g cm⁻³: 2.8

abc: 7.820 7.820 8.861
angles: 124.47 124.47 69.04
Sites, in units of the cell vectors:
Na  0.125  0.125  0.375
Na  0.875  0.875  0.625
Pr  0.375  0.375  0.125
Pr  0.625  0.625  0.875
Cl  0.091  0.722  0.157
Cl  0.278  0.909  0.843
Cl  0.343  0.343  0.409
Cl  0.344  0.344  0.778
Cl  0.656  0.656  0.222
Cl  0.657  0.657  0.591
Cl  0.722  0.091  0.157
Cl  0.909  0.278  0.843

Version two
Entry from Alexandria: a relaxed NaPrCl4 crystal (PBE-GGA).

Calculated values
SG: P2_1/c, No. 14
Magnetic moment, Bohr magnetons per cell: 0.0
ρ, g cm⁻³: 2.9

abc: 7.080 6.958 7.042
angles: 90.00 95.17 90.00
Sites, in units of the cell vectors:
Na  0.000  0.000  0.000
Na  0.000  0.500  0.500
Pr  0.500  0.000  0.500
Pr  0.500  0.500  0.000
Cl  0.167  0.161  0.351
Cl  0.167  0.339  0.851
Cl  0.352  0.661  0.323
Cl  0.352  0.839  0.823
Cl  0.648  0.161  0.177
Cl  0.648  0.339  0.677
Cl  0.833  0.661  0.149
Cl  0.833  0.839  0.649

Which of them is most stable, and which least? Most stable: version two; least stable: version one.

Version one
Entry from Alexandria: a relaxed NaPtCl crystal (PBE-GGA).

Calculated values
SG: P1, No. 1
Magnetic moment, Bohr magnetons per cell: 0.0
ρ, g cm⁻³: 5.7

abc: 3.687 6.311 6.384
angles: 83.76 89.98 89.97
Sites, in units of the cell vectors:
Na  0.000  0.000  0.000
Na  0.497  0.380  0.618
Pt  0.499  0.328  0.149
Pt  0.999  0.534  0.941
Cl  0.499  0.769  0.774
Cl  0.999  0.163  0.382

Version two
Entry from Alexandria: a relaxed NaPtCl crystal (PBE-GGA).

Calculated values
SG: Pnma, No. 62
Magnetic moment, Bohr magnetons per cell: 0.0
ρ, g cm⁻³: 5.8

abc: 6.039 4.404 10.896
angles: 90.00 90.00 90.00
Sites, in units of the cell vectors:
Na  0.212  0.250  0.117
Na  0.288  0.750  0.617
Na  0.712  0.250  0.383
Na  0.788  0.750  0.883
Pt  0.210  0.250  0.393
Pt  0.290  0.750  0.893
Pt  0.710  0.250  0.107
Pt  0.790  0.750  0.607
Cl  0.221  0.250  0.853
Cl  0.279  0.750  0.353
Cl  0.721  0.250  0.647
Cl  0.779  0.750  0.147

Version three
Entry from Alexandria: a relaxed NaPtCl crystal (PBE-GGA).

Calculated values
SG: P6_3/mmc, No. 194
Magnetic moment, Bohr magnetons per cell: 0.0
ρ, g cm⁻³: 6.5

abc: 4.238 4.238 8.310
angles: 90.00 90.00 120.00
Sites, in units of the cell vectors:
Na  0.000  0.000  0.000
Na  0.000  0.000  0.500
Pt  0.333  0.667  0.250
Pt  0.667  0.333  0.750
Cl  0.333  0.667  0.750
Cl  0.667  0.333  0.250

Version four
Entry from Alexandria: a relaxed NaPtCl crystal (PBE-GGA).

Calculated values
SG: P1, No. 1
Magnetic moment, Bohr magnetons per cell: 0.3
ρ, g cm⁻³: 5.4

abc: 4.942 5.764 5.772
angles: 89.24 77.52 76.89
Sites, in units of the cell vectors:
Na  0.000  0.000  0.000
Na  0.303  0.460  0.458
Pt  0.156  0.475  0.980
Pt  0.655  0.547  0.909
Cl  0.493  0.849  0.204
Cl  0.816  0.253  0.606

Which of them is most stable, and which least? Most stable: version one; least stable: version three.

Version one
Entry from Alexandria: a relaxed NaPtCl crystal (PBE-GGA).

Calculated values
SG: F-43m, No. 216
Magnetic moment, Bohr magnetons per cell: 0.0
ρ, g cm⁻³: 6.7

abc: 4.454 4.454 4.454
angles: 60.00 60.00 60.00
Sites, in units of the cell vectors:
Na  0.000  0.000  0.000
Pt  0.500  0.500  0.500
Cl  0.250  0.250  0.250

Version two
Entry from Alexandria: a relaxed NaPtCl crystal (PBE-GGA).

Calculated values
SG: P1, No. 1
Magnetic moment, Bohr magnetons per cell: 0.0
ρ, g cm⁻³: 5.2

abc: 3.760 5.249 8.845
angles: 81.06 89.95 69.06
Sites, in units of the cell vectors:
Na  0.000  0.000  0.000
Na  0.026  0.950  0.576
Pt  0.173  0.654  0.302
Pt  0.495  0.010  0.297
Cl  0.495  0.011  0.786
Cl  0.822  0.356  0.235

Which of them is most stable, and which least? Most stable: version two; least stable: version one.

Version one
Entry from Alexandria: a relaxed NaPtCl crystal (PBE-GGA).

Calculated values
SG: Cm, No. 8
Magnetic moment, Bohr magnetons per cell: 0.0
ρ, g cm⁻³: 6.1

abc: 4.573 4.573 8.122
angles: 106.79 106.79 60.03
Sites, in units of the cell vectors:
Na  0.000  0.000  0.000
Na  0.161  0.161  0.468
Pt  0.413  0.413  0.233
Pt  0.747  0.747  0.233
Cl  0.307  0.307  0.924
Cl  0.519  0.519  0.541

Version two
Entry from Alexandria: a relaxed NaPtCl crystal (PBE-GGA).

Calculated values
SG: P4/nmm, No. 129
Magnetic moment, Bohr magnetons per cell: 0.0
ρ, g cm⁻³: 6.2

abc: 3.831 3.831 9.204
angles: 90.00 90.00 90.00
Sites, in units of the cell vectors:
Na  0.250  0.250  0.218
Na  0.750  0.750  0.782
Pt  0.250  0.250  0.523
Pt  0.750  0.750  0.477
Cl  0.250  0.750  0.000
Cl  0.750  0.250  0.000

Version three
Entry from Alexandria: a relaxed NaPtCl crystal (PBE-GGA).

Calculated values
SG: Pnma, No. 62
Magnetic moment, Bohr magnetons per cell: 0.0
ρ, g cm⁻³: 6.5

abc: 8.653 3.584 8.414
angles: 90.00 90.00 90.00
Sites, in units of the cell vectors:
Na  0.001  0.250  0.249
Na  0.499  0.750  0.749
Na  0.501  0.250  0.251
Na  0.999  0.750  0.751
Pt  0.249  0.250  0.889
Pt  0.251  0.750  0.389
Pt  0.749  0.250  0.611
Pt  0.751  0.750  0.111
Cl  0.249  0.250  0.615
Cl  0.251  0.750  0.115
Cl  0.749  0.250  0.885
Cl  0.751  0.750  0.385

Which of them is most stable, and which least? Most stable: version one; least stable: version two.

Version one
Entry from Alexandria: a relaxed NaPtCl crystal (PBE-GGA).

Calculated values
SG: P6_3/mmc, No. 194
Magnetic moment, Bohr magnetons per cell: 0.0
ρ, g cm⁻³: 4.8

abc: 4.705 4.705 9.096
angles: 90.00 90.00 120.00
Sites, in units of the cell vectors:
Na  0.333  0.667  0.250
Na  0.667  0.333  0.750
Pt  0.000  0.000  0.000
Pt  0.000  0.000  0.500
Cl  0.000  0.000  0.250
Cl  0.000  0.000  0.750

Version two
Entry from Alexandria: a relaxed NaPtCl crystal (PBE-GGA).

Calculated values
SG: P2_1/m, No. 11
Magnetic moment, Bohr magnetons per cell: 0.0
ρ, g cm⁻³: 6.2

abc: 5.960 3.681 6.248
angles: 90.00 93.89 90.00
Sites, in units of the cell vectors:
Na  0.249  0.250  0.185
Na  0.751  0.750  0.815
Pt  0.094  0.250  0.616
Pt  0.906  0.750  0.384
Cl  0.280  0.750  0.835
Cl  0.720  0.250  0.165

Version three
Entry from Alexandria: a relaxed NaPtCl crystal (PBE-GGA).

Calculated values
SG: Cm, No. 8
Magnetic moment, Bohr magnetons per cell: 0.0
ρ, g cm⁻³: 5.9

abc: 8.652 8.652 4.722
angles: 97.82 97.82 23.88
Sites, in units of the cell vectors:
Na  0.000  0.000  0.000
Na  0.223  0.223  0.636
Pt  0.362  0.362  0.164
Pt  0.748  0.748  0.151
Cl  0.397  0.397  0.682
Cl  0.613  0.613  0.232

Which of them is most stable, and which least? Most stable: version two; least stable: version one.

Version one
Entry from Alexandria: a relaxed Na2PtCl crystal (PBE-GGA).

Calculated values
SG: I-42d, No. 122
Magnetic moment, Bohr magnetons per cell: 0.0
ρ, g cm⁻³: 5.4

abc: 6.156 6.156 6.156
angles: 102.15 102.15 125.38
Sites, in units of the cell vectors:
Na  0.101  0.625  0.976
Na  0.375  0.351  0.476
Na  0.649  0.125  0.024
Na  0.875  0.899  0.524
Pt  0.250  0.750  0.500
Pt  0.500  0.500  0.000
Cl  0.000  0.000  0.000
Cl  0.750  0.250  0.500

Version two
Entry from Alexandria: a relaxed Na2PtCl crystal (PBE-GGA).

Calculated values
SG: Fm-3m, No. 225
Magnetic moment, Bohr magnetons per cell: 0.9
ρ, g cm⁻³: 5.3

abc: 4.978 4.978 4.978
angles: 60.00 60.00 60.00
Sites, in units of the cell vectors:
Na  0.250  0.250  0.250
Na  0.750  0.750  0.750
Pt  0.000  0.000  0.000
Cl  0.500  0.500  0.500

Which of them is most stable, and which least? Most stable: version one; least stable: version two.

Version one
Entry from Alexandria: a relaxed NaPtCl2 crystal (PBE-GGA).

Calculated values
SG: R-3m, No. 166
Magnetic moment, Bohr magnetons per cell: 1.0
ρ, g cm⁻³: 4.3

abc: 7.649 7.649 7.649
angles: 32.02 32.02 32.02
Sites, in units of the cell vectors:
Na  0.000  0.000  0.000
Pt  0.500  0.500  0.500
Cl  0.116  0.116  0.116
Cl  0.884  0.884  0.884

Version two
Entry from Alexandria: a relaxed NaPtCl2 crystal (PBE-GGA).

Calculated values
SG: R-3m, No. 166
Magnetic moment, Bohr magnetons per cell: 0.0
ρ, g cm⁻³: 5.3

abc: 8.229 8.229 8.229
angles: 25.32 25.32 25.32
Sites, in units of the cell vectors:
Na  0.000  0.000  0.000
Pt  0.500  0.500  0.500
Cl  0.404  0.404  0.404
Cl  0.596  0.596  0.596

Which of them is most stable, and which least? Most stable: version two; least stable: version one.

Version one
Entry from Alexandria: a relaxed NaPtCl2 crystal (PBE-GGA).

Calculated values
SG: I-42d, No. 122
Magnetic moment, Bohr magnetons per cell: 2.0
ρ, g cm⁻³: 4.7

abc: 8.143 8.143 8.143
angles: 142.13 142.13 54.63
Sites, in units of the cell vectors:
Na  0.000  0.000  0.000
Na  0.750  0.250  0.500
Pt  0.250  0.750  0.500
Pt  0.500  0.500  0.000
Cl  0.176  0.625  0.051
Cl  0.375  0.426  0.551
Cl  0.574  0.125  0.949
Cl  0.875  0.824  0.449

Version two
Entry from Alexandria: a relaxed NaPtCl2 crystal (PBE-GGA).

Calculated values
SG: Fm-3m, No. 225
Magnetic moment, Bohr magnetons per cell: 1.0
ρ, g cm⁻³: 6.3

abc: 4.762 4.762 4.762
angles: 60.00 60.00 60.00
Sites, in units of the cell vectors:
Na  0.000  0.000  0.000
Pt  0.500  0.500  0.500
Cl  0.250  0.250  0.250
Cl  0.750  0.750  0.750

Which of them is most stable, and which least? Most stable: version one; least stable: version two.

Version one
Entry from Alexandria: a relaxed NaPtSCl2 crystal (PBE-GGA).

Calculated values
SG: P4/mmm, No. 123
Magnetic moment, Bohr magnetons per cell: 0.0
ρ, g cm⁻³: 4.4

abc: 5.162 5.162 4.514
angles: 90.00 90.00 90.00
Sites, in units of the cell vectors:
Na  0.000  0.000  0.000
Pt  0.500  0.500  0.500
S  0.500  0.500  0.000
Cl  0.000  0.500  0.500
Cl  0.500  0.000  0.500

Version two
Entry from Alexandria: a relaxed NaPtSCl2 crystal (PBE-GGA).

Calculated values
SG: P4/mmm, No. 123
Magnetic moment, Bohr magnetons per cell: 3.0
ρ, g cm⁻³: 4.3

abc: 4.864 4.864 5.222
angles: 90.00 90.00 90.00
Sites, in units of the cell vectors:
Na  0.000  0.000  0.000
Pt  0.500  0.500  0.500
S  0.000  0.000  0.500
Cl  0.000  0.500  0.000
Cl  0.500  0.000  0.000

Which of them is most stable, and which least? Most stable: version one; least stable: version two.

Version one
Entry from Alexandria: a relaxed NaPuCl6 crystal (PBE-GGA).

Calculated values
SG: Fm-3m, No. 225
Magnetic moment, Bohr magnetons per cell: 3.0
ρ, g cm⁻³: 2.6

abc: 7.612 7.612 7.612
angles: 60.00 60.00 60.00
Sites, in units of the cell vectors:
Na  0.000  0.000  0.000
Pu  0.500  0.500  0.500
Cl  0.266  0.266  0.734
Cl  0.266  0.734  0.266
Cl  0.266  0.734  0.734
Cl  0.734  0.266  0.266
Cl  0.734  0.266  0.734
Cl  0.734  0.734  0.266

Version two
Entry from Alexandria: a relaxed NaPuCl6 crystal (PBE-GGA).

Calculated values
SG: C2/m, No. 12
Magnetic moment, Bohr magnetons per cell: 3.0
ρ, g cm⁻³: 2.7

abc: 6.917 6.917 7.213
angles: 90.25 90.25 119.81
Sites, in units of the cell vectors:
Na  0.000  0.000  0.000
Pu  0.000  0.000  0.500
Cl  0.000  0.291  0.712
Cl  0.000  0.709  0.288
Cl  0.291  0.000  0.712
Cl  0.291  0.291  0.291
Cl  0.709  0.000  0.288
Cl  0.709  0.709  0.709

Which of them is most stable, and which least? Most stable: version two; least stable: version one.